No. 1
Crystalline NaTmZr at its relaxed geometry, computed with PBE.

a = 5.1765 Å, b = 5.1765 Å, c = 5.1765 Å
α = 60.00°, β = 60.00°, γ = 60.00°
With the nearest neighbours (Å) after each atom.
Element x y z (fractional)
Zr  0.7500  0.7500  0.7500  4 Tm 3.17
Na  0.2500  0.2500  0.2500  4 Tm 3.17
Tm  0.0000  0.0000  0.0000  4 Zr 3.17, 4 Na 3.17

Values from the calculation:
SG ... No. 216
DFT total energy ... -10.32 eV/cell
Total magnetization ... 2.35 μB per formula unit



No. 2
Crystalline NaYU at its relaxed geometry, computed with PBE.

a = 5.2006 Å, b = 5.2006 Å, c = 5.2006 Å
α = 60.00°, β = 60.00°, γ = 60.00°
With the nearest neighbours (Å) after each atom.
Element x y z (fractional)
Na  0.0000  0.0000  0.0000  4 Y 3.18, 4 U 3.18
Y  0.7500  0.7500  0.7500  4 Na 3.18
U  0.2500  0.2500  0.2500  4 Na 3.18

Values from the calculation:
SG ... No. 216
Offset from the most stable computed form ... 0.00 eV per formula unit
Total magnetization ... 5.60 μB per formula unit



No. 3
Crystalline NaZrU at its relaxed geometry, computed with PBE.

a = 4.9147 Å, b = 4.9147 Å, c = 4.9147 Å
α = 60.00°, β = 60.00°, γ = 60.00°
With the nearest neighbours (Å) after each atom.
Element x y z (fractional)
Na  0.2500  0.2500  0.2500  4 U 3.01
U  0.0000  0.0000  0.0000  4 Zr 3.01, 4 Na 3.01
Zr  0.7500  0.7500  0.7500  4 U 3.01

Values from the calculation:
SG ... No. 216
Offset from the most stable computed form ... 0.51 eV per formula unit
Total magnetization ... 3.28 μB per formula unit



No. 4
Crystalline NaZrU at its relaxed geometry, computed with PBE.

a = 4.8837 Å, b = 4.8837 Å, c = 4.8837 Å
α = 60.00°, β = 60.00°, γ = 60.00°
With the nearest neighbours (Å) after each atom.
Element x y z (fractional)
Na  0.2500  0.2500  0.2500  4 Zr 2.99
Zr  0.0000  0.0000  0.0000  4 Na 2.99, 4 U 2.99
U  0.7500  0.7500  0.7500  4 Zr 2.99

Values from the calculation:
SG ... No. 216
Offset from the most stable computed form ... 0.00 eV per formula unit
Total magnetization ... 3.18 μB per formula unit